1 | Compound: Pr5NdIn2
Source: Alexandria via LeMat-Bulk
Functional: PBE
Structure: relaxed

The density of states at the Fermi level comes out at 11.28 states/eV/f.u. The total magnetic moment comes out at 0.00 μB/atom.

Geometry as CIF:
```
data_Pr5NdIn2
_symmetry_space_group_name_H-M 'P 1'
_symmetry_Int_Tables_number 1
_cell_length_a 3.753
_cell_length_b 11.108
_cell_length_c 12.751
_cell_angle_alpha 90.00
_cell_angle_beta 90.00
_cell_angle_gamma 90.00
loop_
_symmetry_equiv_pos_as_xyz
'x,y,z'
loop_
_atom_site_label
_atom_site_fract_x
_atom_site_fract_y
_atom_site_fract_z
Pr1 0.000 0.000 0.000
Pr2 0.000 0.280 0.360
Pr3 0.000 0.280 0.640
Pr4 0.000 0.720 0.360
Pr5 0.000 0.720 0.640
Pr6 0.500 0.220 0.140
Pr7 0.500 0.220 0.860
Pr8 0.500 0.500 0.500
Pr9 0.500 0.780 0.140
Pr10 0.500 0.780 0.860
Nd1 0.000 0.500 0.000
Nd2 0.500 0.000 0.500
In1 0.000 0.000 0.273
In2 0.000 0.000 0.727
In3 0.500 0.500 0.227
In4 0.500 0.500 0.773
```

2 | Compound: Pr5NdIn2
Source: Alexandria via LeMat-Bulk
Functional: PBE
Structure: relaxed

The density of states at the Fermi level comes out at 11.99 states/eV/f.u. The total magnetic moment comes out at 0.00 μB/atom.

Geometry as CIF:
```
data_Pr5NdIn2
_symmetry_space_group_name_H-M 'P 1'
_symmetry_Int_Tables_number 1
_cell_length_a 7.094
_cell_length_b 14.191
_cell_length_c 5.019
_cell_angle_alpha 90.00
_cell_angle_beta 90.00
_cell_angle_gamma 90.00
loop_
_symmetry_equiv_pos_as_xyz
'x,y,z'
loop_
_atom_site_label
_atom_site_fract_x
_atom_site_fract_y
_atom_site_fract_z
Pr1 0.000 0.000 0.000
Pr2 0.001 0.250 0.000
Pr3 0.250 0.375 0.500
Pr4 0.250 0.875 0.500
Pr5 0.499 0.750 0.000
Pr6 0.500 0.500 0.000
Pr7 0.501 0.250 0.000
Pr8 0.750 0.125 0.500
Pr9 0.750 0.625 0.500
Pr10 0.999 0.750 0.000
Nd1 0.000 0.500 0.000
Nd2 0.500 0.000 0.000
In1 0.249 0.625 0.500
In2 0.251 0.125 0.500
In3 0.749 0.875 0.500
In4 0.751 0.375 0.500
```

Name the least stable of them. 1.

1 | Compound: Pr3Nd2In
Source: Alexandria via LeMat-Bulk
Functional: PBE
Structure: relaxed

The density of states at the Fermi level comes out at 7.97 states/eV/f.u. The total magnetic moment comes out at 0.00 μB/atom.

Geometry as CIF:
```
data_Pr3Nd2In
_symmetry_space_group_name_H-M 'P 1'
_symmetry_Int_Tables_number 1
_cell_length_a 5.025
_cell_length_b 15.739
_cell_length_c 5.024
_cell_angle_alpha 90.00
_cell_angle_beta 90.00
_cell_angle_gamma 90.00
loop_
_symmetry_equiv_pos_as_xyz
'x,y,z'
loop_
_atom_site_label
_atom_site_fract_x
_atom_site_fract_y
_atom_site_fract_z
Pr1 0.000 0.000 0.000
Pr2 0.000 0.338 0.000
Pr3 0.000 0.662 0.000
Pr4 0.500 0.162 0.000
Pr5 0.500 0.500 0.000
Pr6 0.500 0.838 0.000
Nd1 0.000 0.163 0.500
Nd2 0.000 0.837 0.500
Nd3 0.500 0.337 0.500
Nd4 0.500 0.663 0.500
In1 0.000 0.500 0.500
In2 0.500 0.000 0.500
```

2 | Compound: Pr3Nd2In
Source: Alexandria via LeMat-Bulk
Functional: PBE
Structure: relaxed

The density of states at the Fermi level comes out at 7.24 states/eV/f.u. The total magnetic moment comes out at 0.00 μB/atom.

Geometry as CIF:
```
data_Pr3Nd2In
_symmetry_space_group_name_H-M 'P 1'
_symmetry_Int_Tables_number 1
_cell_length_a 9.125
_cell_length_b 3.781
_cell_length_c 11.686
_cell_angle_alpha 90.00
_cell_angle_beta 90.03
_cell_angle_gamma 90.00
loop_
_symmetry_equiv_pos_as_xyz
'x,y,z'
loop_
_atom_site_label
_atom_site_fract_x
_atom_site_fract_y
_atom_site_fract_z
Pr1 0.095 0.250 0.104
Pr2 0.351 0.750 0.572
Pr3 0.396 0.750 0.250
Pr4 0.604 0.250 0.750
Pr5 0.649 0.250 0.428
Pr6 0.905 0.750 0.896
Nd1 0.091 0.250 0.395
Nd2 0.355 0.750 0.928
Nd3 0.645 0.250 0.072
Nd4 0.909 0.750 0.605
In1 0.155 0.250 0.752
In2 0.845 0.750 0.248
```

Name the least stable of them. 2.

1 | Compound: Pr2Nd4In
Source: Alexandria via LeMat-Bulk
Functional: PBE
Structure: relaxed

The density of states at the Fermi level comes out at 9.45 states/eV/f.u. The total magnetic moment comes out at 0.00 μB/atom.

Geometry as CIF:
```
data_Pr2Nd4In
_symmetry_space_group_name_H-M 'P 1'
_symmetry_Int_Tables_number 1
_cell_length_a 6.291
_cell_length_b 12.765
_cell_length_c 6.101
_cell_angle_alpha 90.00
_cell_angle_beta 90.00
_cell_angle_gamma 90.00
loop_
_symmetry_equiv_pos_as_xyz
'x,y,z'
loop_
_atom_site_label
_atom_site_fract_x
_atom_site_fract_y
_atom_site_fract_z
Pr1 0.000 0.114 0.000
Pr2 0.000 0.886 0.000
Pr3 0.500 0.386 0.000
Pr4 0.500 0.614 0.000
Nd1 0.000 0.173 0.500
Nd2 0.000 0.366 0.000
Nd3 0.000 0.634 0.000
Nd4 0.000 0.827 0.500
Nd5 0.500 0.134 0.000
Nd6 0.500 0.327 0.500
Nd7 0.500 0.673 0.500
Nd8 0.500 0.866 0.000
In1 0.000 0.500 0.500
In2 0.500 0.000 0.500
```

2 | Compound: Pr2Nd4In
Source: Alexandria via LeMat-Bulk
Functional: PBE
Structure: relaxed

The density of states at the Fermi level comes out at 10.19 states/eV/f.u. The total magnetic moment comes out at 0.00 μB/atom.

Geometry as CIF:
```
data_Pr2Nd4In
_symmetry_space_group_name_H-M 'P 1'
_symmetry_Int_Tables_number 1
_cell_length_a 4.876
_cell_length_b 4.876
_cell_length_c 11.208
_cell_angle_alpha 90.00
_cell_angle_beta 90.00
_cell_angle_gamma 90.00
loop_
_symmetry_equiv_pos_as_xyz
'x,y,z'
loop_
_atom_site_label
_atom_site_fract_x
_atom_site_fract_y
_atom_site_fract_z
Pr1 0.000 0.500 0.000
Pr2 0.500 0.000 0.000
Nd1 0.243 0.243 0.728
Nd2 0.243 0.757 0.272
Nd3 0.757 0.243 0.272
Nd4 0.757 0.757 0.728
In1 0.500 0.500 0.500
```

Name the least stable of them. 2.

1 | Compound: Pr2Nd3In3
Source: Alexandria via LeMat-Bulk
Functional: PBE
Structure: relaxed

The density of states at the Fermi level comes out at 7.71 states/eV/f.u. The total magnetic moment comes out at 0.00 μB/atom.

Geometry as CIF:
```
data_Pr2Nd3In3
_symmetry_space_group_name_H-M 'P 1'
_symmetry_Int_Tables_number 1
_cell_length_a 4.549
_cell_length_b 5.077
_cell_length_c 21.173
_cell_angle_alpha 90.00
_cell_angle_beta 90.00
_cell_angle_gamma 90.00
loop_
_symmetry_equiv_pos_as_xyz
'x,y,z'
loop_
_atom_site_label
_atom_site_fract_x
_atom_site_fract_y
_atom_site_fract_z
Pr1 0.000 0.000 0.236
Pr2 0.000 0.000 0.764
Pr3 0.500 0.500 0.264
Pr4 0.500 0.500 0.736
Nd1 0.000 0.000 0.000
Nd2 0.000 0.500 0.118
Nd3 0.000 0.500 0.882
Nd4 0.500 0.000 0.382
Nd5 0.500 0.000 0.618
Nd6 0.500 0.500 0.500
In1 0.000 0.000 0.500
In2 0.000 0.500 0.377
In3 0.000 0.500 0.623
In4 0.500 0.000 0.123
In5 0.500 0.000 0.877
In6 0.500 0.500 0.000
```

2 | Compound: Pr2Nd3In3
Source: Alexandria via LeMat-Bulk
Functional: PBE
Structure: relaxed

The density of states at the Fermi level comes out at 11.01 states/eV/f.u. The total magnetic moment comes out at 0.00 μB/atom.

Geometry as CIF:
```
data_Pr2Nd3In3
_symmetry_space_group_name_H-M 'P 1'
_symmetry_Int_Tables_number 1
_cell_length_a 9.553
_cell_length_b 9.553
_cell_length_c 6.478
_cell_angle_alpha 90.00
_cell_angle_beta 90.00
_cell_angle_gamma 120.00
loop_
_symmetry_equiv_pos_as_xyz
'x,y,z'
loop_
_atom_site_label
_atom_site_fract_x
_atom_site_fract_y
_atom_site_fract_z
Pr1 0.333 0.667 0.000
Pr2 0.333 0.667 0.500
Pr3 0.667 0.333 0.000
Pr4 0.667 0.333 0.500
Nd1 0.000 0.235 0.250
Nd2 0.000 0.765 0.750
Nd3 0.235 0.000 0.250
Nd4 0.235 0.235 0.750
Nd5 0.765 0.000 0.750
Nd6 0.765 0.765 0.250
In1 0.000 0.395 0.750
In2 0.000 0.605 0.250
In3 0.395 0.000 0.750
In4 0.395 0.395 0.250
In5 0.605 0.000 0.250
In6 0.605 0.605 0.750
```

Name the least stable of them. 2.

1 | Compound: Pr3NdIn
Source: Alexandria via LeMat-Bulk
Functional: PBE
Structure: relaxed

The density of states at the Fermi level comes out at 6.44 states/eV/f.u. The total magnetic moment comes out at 0.00 μB/atom.

Geometry as CIF:
```
data_Pr3NdIn
_symmetry_space_group_name_H-M 'P 1'
_symmetry_Int_Tables_number 1
_cell_length_a 13.363
_cell_length_b 13.363
_cell_length_c 4.967
_cell_angle_alpha 90.00
_cell_angle_beta 90.00
_cell_angle_gamma 158.57
loop_
_symmetry_equiv_pos_as_xyz
'x,y,z'
loop_
_atom_site_label
_atom_site_fract_x
_atom_site_fract_y
_atom_site_fract_z
Pr1 0.053 0.947 0.750
Pr2 0.250 0.750 0.750
Pr3 0.445 0.555 0.750
Pr4 0.555 0.445 0.250
Pr5 0.750 0.250 0.250
Pr6 0.947 0.053 0.250
Nd1 0.348 0.652 0.250
Nd2 0.652 0.348 0.750
In1 0.153 0.847 0.250
In2 0.847 0.153 0.750
```

2 | Compound: Pr3NdIn
Source: Alexandria via LeMat-Bulk
Functional: PBE
Structure: relaxed

The density of states at the Fermi level comes out at 8.10 states/eV/f.u. The total magnetic moment comes out at 0.00 μB/atom.

Geometry as CIF:
```
data_Pr3NdIn
_symmetry_space_group_name_H-M 'P 1'
_symmetry_Int_Tables_number 1
_cell_length_a 6.998
_cell_length_b 6.998
_cell_length_c 6.998
_cell_angle_alpha 87.65
_cell_angle_beta 87.65
_cell_angle_gamma 87.65
loop_
_symmetry_equiv_pos_as_xyz
'x,y,z'
loop_
_atom_site_label
_atom_site_fract_x
_atom_site_fract_y
_atom_site_fract_z
Pr1 0.084 0.750 0.416
Pr2 0.250 0.584 0.916
Pr3 0.416 0.084 0.750
Pr4 0.584 0.916 0.250
Pr5 0.750 0.416 0.084
Pr6 0.916 0.250 0.584
Nd1 0.000 0.000 0.000
Nd2 0.500 0.500 0.500
In1 0.250 0.250 0.250
In2 0.750 0.750 0.750
```

Name the least stable of them. 2.

1 | Compound: PrNd2In4
Source: Alexandria via LeMat-Bulk
Functional: PBE
Structure: relaxed

The density of states at the Fermi level comes out at 5.43 states/eV/f.u. The total magnetic moment comes out at 0.00 μB/atom.

Geometry as CIF:
```
data_PrNd2In4
_symmetry_space_group_name_H-M 'P 1'
_symmetry_Int_Tables_number 1
_cell_length_a 6.133
_cell_length_b 7.891
_cell_length_c 8.747
_cell_angle_alpha 98.89
_cell_angle_beta 90.90
_cell_angle_gamma 103.08
loop_
_symmetry_equiv_pos_as_xyz
'x,y,z'
loop_
_atom_site_label
_atom_site_fract_x
_atom_site_fract_y
_atom_site_fract_z
Pr1 0.000 0.000 0.000
Pr2 0.248 0.878 0.645
Nd1 0.359 0.333 0.739
Nd2 0.621 0.870 0.308
Nd3 0.766 0.357 0.369
Nd4 0.871 0.507 0.930
In1 0.061 0.723 0.269
In2 0.179 0.125 0.374
In3 0.310 0.420 0.117
In4 0.316 0.526 0.450
In5 0.416 0.733 0.945
In6 0.548 0.131 0.013
In7 0.723 0.710 0.652
In8 0.818 0.123 0.667
```

2 | Compound: PrNd2In4
Source: Alexandria via LeMat-Bulk
Functional: PBE
Structure: relaxed

The density of states at the Fermi level comes out at 6.13 states/eV/f.u. The total magnetic moment comes out at 0.00 μB/atom.

Geometry as CIF:
```
data_PrNd2In4
_symmetry_space_group_name_H-M 'P 1'
_symmetry_Int_Tables_number 1
_cell_length_a 16.022
_cell_length_b 5.398
_cell_length_c 5.398
_cell_angle_alpha 90.00
_cell_angle_beta 109.57
_cell_angle_gamma 90.00
loop_
_symmetry_equiv_pos_as_xyz
'x,y,z'
loop_
_atom_site_label
_atom_site_fract_x
_atom_site_fract_y
_atom_site_fract_z
Pr1 0.000 0.000 0.000
Pr2 0.500 0.500 0.000
Nd1 0.245 0.500 0.745
Nd2 0.255 0.000 0.255
Nd3 0.745 0.000 0.745
Nd4 0.755 0.500 0.255
In1 0.116 0.000 0.615
In2 0.116 0.500 0.116
In3 0.384 0.000 0.884
In4 0.384 0.500 0.385
In5 0.616 0.000 0.116
In6 0.616 0.500 0.615
In7 0.884 0.000 0.385
In8 0.884 0.500 0.884
```

Name the least stable of them. 2.